Entry 1:
VASP calculation (PBE) on a relaxed Ce3Ga crystal.

Properties
Offset from the most stable computed form ... 0.004 eV per atom
DFT formation energy ... -242.6 meV per atom
Crystal system ... orthorhombic

Lattice parameters (Å, degrees): 3.3135 10.6674 5.5829 90.00 90.00 90.00
Closest atoms and distances in Å follow each position.
Space group Imm2 (No. 44)
One atom of each set of equivalent atoms:
Ce: 0.0000 0.0000 0.0000 [2 per cell]  2 Ce 2.89, 2 Ga 3.13
Ce: 0.0000 0.2203 0.3000 [4 per cell]  1 Ce 2.89, 2 Ga 3.14
Ga: 0.0000 0.5000 0.0244 [2 per cell]  10 Ce 3.13-3.36, 2 Ga 3.31

Entry 2:
VASP calculation (PBE) on a relaxed NpSi3Pd10 crystal.

Properties
ΔE_f (raw) ... -0.555 eV/atom
Crystal system ... cubic

Lattice parameters (Å, degrees): 12.2596 12.2596 12.2596 90.00 90.00 90.00
Closest atoms and distances in Å follow each position.
Space group Fm-3m (No. 225)
One atom of each set of equivalent atoms:
Np: 0.2500 0.2500 0.2500 [8 per cell]  4 Pd 2.84
Si: 0.0000 0.0000 0.2361 [24 per cell]  8 Pd 2.39-2.50
Pd: 0.0000 0.1726 0.3274 [48 per cell]  2 Si 2.39
Pd: 0.1164 0.1164 0.1164 [32 per cell]  3 Si 2.50

Entry 3:
VASP calculation (PBE) on a relaxed W2CCl crystal.

Properties
Offset from the most stable computed form ... 0.269 eV per atom
ΔE_f (raw) ... 1.381 eV/atom
Crystal system ... cubic

Lattice parameters (Å, degrees): 5.8058 5.8058 5.8058 90.00 90.00 90.00
Closest atoms and distances in Å follow each position.
Space group Fm-3m (No. 225)
One atom of each set of equivalent atoms:
W: 0.2500 0.2500 0.2500 [8 per cell]  4 Cl 2.51, 4 C 2.51
C: 0.0000 0.0000 0.0000 [4 per cell]  8 W 2.51
Cl: 0.0000 0.0000 0.5000 [4 per cell]  8 W 2.51

Entry 4:
VASP calculation (PBE) on a relaxed LiZnSi2 crystal.

Properties
ΔE_f (raw) ... 0.129 eV/atom
Crystal system ... trigonal

Lattice parameters (Å, degrees): 2.6944 2.6944 28.0804 90.00 90.00 120.00
Closest atoms and distances in Å follow each position.
Space group R-3m (No. 166, hexagonal axes)
One atom of each set of equivalent atoms:
Li: 0.0000 0.0000 0.0000 [3 per cell]  6 Li 2.69, 6 Si 2.73
Zn: 0.0000 0.0000 0.5000 [3 per cell]  6 Zn 2.69, 6 Si 2.89
Si: 0.0000 0.0000 0.2536 [6 per cell]  6 Si 2.69, 3 Li 2.73, 3 Zn 2.89

Entry 5:
VASP calculation (PBE) on a relaxed ZnAgAs crystal.

Properties
DFT formation energy ... 142.4 meV per atom
Crystal system ... trigonal

Lattice parameters (Å, degrees): 4.1580 4.1580 3.9182 90.00 90.00 120.00
Closest atoms and distances in Å follow each position.
Space group P3m1 (No. 156)
One atom of each set of equivalent atoms:
Zn: 0.0000 0.0000 0.0000 [1 per cell]  3 As 2.47
Ag: 0.6667 0.3333 0.4046 [1 per cell]  3 Zn 2.88, 3 As 2.98
As: 0.3333 0.6667 0.8560 [1 per cell]  3 Zn 2.47

Entry 6:
VASP calculation (PBE) on a relaxed Te2PbCl crystal.

Properties
Offset from the most stable computed form ... 0.038 eV per atom
ΔE_f (raw) ... -0.359 eV/atom
Crystal system ... orthorhombic

Lattice parameters (Å, degrees): 3.9302 4.8067 12.6461 90.00 90.00 90.00
Closest atoms and distances in Å follow each position.
Space group Immm (No. 71)
One atom of each set of equivalent atoms:
Te: 0.0000 0.0000 0.2322 [4 per cell]  4 Te 3.14
Pb: 0.0000 0.5000 0.5000 [2 per cell]  4 Cl 3.10
Cl: 0.0000 0.5000 0.0000 [2 per cell]  4 Pb 3.10

Entry 7:
VASP calculation (PBE) on a relaxed KFe2I crystal.

Properties
Offset from the most stable computed form ... 0.553 eV per atom
ΔE_f (raw) ... 1.269 eV/atom
Crystal system ... cubic

Lattice parameters (Å, degrees): 7.1444 7.1444 7.1444 90.00 90.00 90.00
Closest atoms and distances in Å follow each position.
Space group Fm-3m (No. 225)
One atom of each set of equivalent atoms:
K: 0.0000 0.0000 0.0000 [4 per cell]  8 Fe 3.09
Fe: 0.2500 0.2500 0.2500 [8 per cell]  4 K 3.09, 4 I 3.09
I: 0.0000 0.0000 0.5000 [4 per cell]  8 Fe 3.09

Entry 8:
VASP calculation (PBE) on a relaxed TaWSe2 crystal.

Properties
Offset from the most stable computed form ... 0.517 eV per atom
ΔE_f (raw) ... 0.189 eV/atom
Crystal system ... tetragonal

Lattice parameters (Å, degrees): 4.5031 4.5031 3.1934 90.00 90.00 90.00
Closest atoms and distances in Å follow each position.
Space group P4/mmm (No. 123)
One atom of each set of equivalent atoms:
Ta: 0.0000 0.0000 0.0000 [1 per cell]  8 Se 2.76
W: 0.5000 0.5000 0.0000 [1 per cell]  8 Se 2.76
Se: 0.0000 0.5000 0.5000 [2 per cell]  4 W 2.76, 4 Ta 2.76

Number 1: volume 24.7 A^3/atom, uncorrected energy -5.450 eV/atom, density 8.25 Mg/m³. Number 2: volume 16.5 A^3/atom, uncorrected energy -6.351 eV/atom, density 9.99 Mg/m³. Number 3: volume 12.2 A^3/atom, uncorrected energy -7.863 eV/atom, density 14.09 Mg/m³. Number 4: volume 14.7 A^3/atom, uncorrected energy -3.380 eV/atom, density 3.63 Mg/m³. Number 5: volume 19.6 A^3/atom, uncorrected energy -2.783 eV/atom, density 7.03 Mg/m³. Number 6: volume 29.9 A^3/atom, uncorrected energy -3.319 eV/atom, density 6.92 Mg/m³. Number 7: volume 22.8 A^3/atom, uncorrected energy -3.624 eV/atom, density 5.06 Mg/m³. Number 8: volume 16.2 A^3/atom, uncorrected energy -7.755 eV/atom, density 13.40 Mg/m³.